Record 1
The following is a PBE calculation of a relaxed structure of Tm2Si4Ni3Pt, from Alexandria via LeMat-Bulk.

a = 3.960 Å, b = 3.960 Å, c = 9.661 Å
α = 90.00°, β = 90.00°, γ = 90.00°
Space group P-4m2 (No. 115)
Symmetry-distinct sites (fractional):
Tm1 0.000 0.500 0.242 [2 per cell]
Si1 0.000 0.000 0.000 [1 per cell]
Si2 0.000 0.500 0.643 [2 per cell]
Si3 0.500 0.500 0.000 [1 per cell]
Ni1 0.000 0.500 0.877 [2 per cell]
Ni2 0.500 0.500 0.500 [1 per cell]
Pt1 0.000 0.000 0.500 [1 per cell]

Output
**Energy**: -6.31 eV/atom
**D(E_F)**: 6.45 states/eV/cell
**Crystal system**: tetragonal



Record 2
The following is a PBE calculation of a relaxed structure of Cd2HgBr, from Alexandria via LeMat-Bulk.

a = 6.498 Å, b = 8.725 Å, c = 4.262 Å
α = 90.00°, β = 112.55°, γ = 90.00°
Space group C2/m (No. 12)
Symmetry-distinct sites (fractional):
Cd1 0.250 0.250 0.000 [4 per cell]
Hg1 0.000 0.000 0.500 [2 per cell]
Br1 0.000 0.500 0.500 [2 per cell]

Output
**Energy**: -1.07 eV/atom
**D(E_F)**: 2.88 states/eV/cell
**Crystal system**: monoclinic
**Offset from the most stable computed form**: 88 meV per atom



Record 3
The following is a PBE calculation of a relaxed structure of MgSc2TaN4, from Alexandria via LeMat-Bulk.

a = 5.425 Å, b = 3.142 Å, c = 5.442 Å
α = 90.00°, β = 109.09°, γ = 90.00°
Space group P2/m (No. 10)
Symmetry-distinct sites (fractional):
Mg1 0.000 0.000 0.000 [1 per cell]
Sc1 0.500 0.000 0.500 [1 per cell]
Sc2 0.500 0.500 0.000 [1 per cell]
Ta1 0.000 0.500 0.500 [1 per cell]
N1 0.241 0.000 0.742 [2 per cell]
N2 0.243 0.500 0.260 [2 per cell]

Output
**Energy**: -8.96 eV/atom
**D(E_F)**: 2.07 states/eV/cell
**Crystal system**: monoclinic



Record 4
The following is a PBE calculation of a relaxed structure of Nd2Sm5Er, from Alexandria via LeMat-Bulk.

a = 5.649 Å, b = 11.995 Å, c = 16.291 Å
α = 90.00°, β = 90.00°, γ = 90.00°
Space group Cmcm (No. 63)
Symmetry-distinct sites (fractional):
Nd1 0.000 0.222 0.130 [8 per cell]
Sm1 0.000 0.079 0.592 [8 per cell]
Sm2 0.000 0.383 0.552 [8 per cell]
Sm3 0.000 0.460 0.250 [4 per cell]
Er1 0.000 0.261 0.750 [4 per cell]

Output
**Energy**: -4.58 eV/atom
**D(E_F)**: 52.41 states/eV/cell
**Crystal system**: orthorhombic
**Energy relative to the elements**: 12.3 kJ/mol of atoms
**Offset from the most stable computed form**: 112 meV per atom



Repeat the second record exactly.
The following is a PBE calculation of a relaxed structure of Cd2HgBr, from Alexandria via LeMat-Bulk.

a = 6.498 Å, b = 8.725 Å, c = 4.262 Å
α = 90.00°, β = 112.55°, γ = 90.00°
Space group C2/m (No. 12)
Symmetry-distinct sites (fractional):
Cd1 0.250 0.250 0.000 [4 per cell]
Hg1 0.000 0.000 0.500 [2 per cell]
Br1 0.000 0.500 0.500 [2 per cell]

Output
**Energy**: -1.07 eV/atom
**D(E_F)**: 2.88 states/eV/cell
**Crystal system**: monoclinic
**Offset from the most stable computed form**: 88 meV per atom



Q: Which of these has the highest energy?
A: Cd2HgBr